Entry 1:
# YTlAg2

A crystal of YTlAg2 relaxed with PBEsol (SCAN, the Alexandria database).

a b c (Å): 6.914 6.914 6.914
angles (deg): 90.00 90.00 90.00
Space group Fm-3m (No. 225)
Inequivalent atoms, fractional coordinates:
1 Y 0.000 0.000 0.000
2 Tl 0.000 0.000 0.500
3 Ag 0.250 0.250 0.250

## Properties
**Polymorph energy (0 for the lowest one)**: 0 meV per atom
**ΔH_f (0 K)**: -1.22 eV per formula unit
**Total moment**: 0.00 μB/f.u.
**Electronic total energy**: -41.04 eV per atom
**D(E_F)**: 1.02 states/eV/f.u.

Entry 2:
# YTl2Ag

A crystal of YTl2Ag relaxed with PBEsol (SCAN, the Alexandria database).

a b c (Å): 4.637 4.637 4.310
angles (deg): 90.00 90.00 90.00
Space group P4/mmm (No. 123)
Inequivalent atoms, fractional coordinates:
1 Y 0.000 0.000 0.000
2 Tl 0.000 0.500 0.500
3 Ag 0.500 0.500 0.000

## Properties
**ΔH_f (0 K)**: -1.25 eV per formula unit
**Total moment**: 0.00 μB/f.u.
**Electronic total energy**: -51.29 eV per atom
**D(E_F)**: 2.03 states/eV/f.u.

Entry 3:
# Tl2ZnAg

A crystal of Tl2ZnAg relaxed with PBEsol (SCAN, the Alexandria database).

a b c (Å): 3.3708 3.3708 26.2608
angles (deg): 90.00 90.00 120.00
Space group R-3m (No. 166, hexagonal axes)
Inequivalent atoms, fractional coordinates:
1 Tl 0.0000 0.0000 0.2489
2 Zn 0.0000 0.0000 0.5000
3 Ag 0.0000 0.0000 0.0000

## Properties
**Polymorph energy (0 for the lowest one)**: 68 meV per atom
**ΔH_f (0 K)**: 0.84 eV per formula unit
**Total moment**: 0.00 μB/f.u.
**Electronic total energy**: -47.19 eV per atom
**D(E_F)**: 1.39 states/eV/f.u.

Entry 4:
# TlZn2Ag

A crystal of TlZn2Ag relaxed with PBEsol (SCAN, the Alexandria database).

a b c (Å): 3.1008 3.1008 26.4035
angles (deg): 90.00 90.00 120.00
Space group R3m (No. 160, hexagonal axes)
Inequivalent atoms, fractional coordinates:
1 Tl 0.0000 0.0000 0.0000
2 Zn 0.0000 0.0000 0.2412
3 Zn 0.0000 0.0000 0.5030
4 Ag 0.0000 0.0000 0.7609

## Properties
**Polymorph energy (0 for the lowest one)**: 0 meV per atom
**ΔH_f (0 K)**: 0.73 eV per formula unit
**Total moment**: 0.00 μB/f.u.
**Electronic total energy**: -32.51 eV per atom
**D(E_F)**: 0.95 states/eV/f.u.

Entry 5:
# TlZn4Ag

A crystal of TlZn4Ag relaxed with PBEsol (SCAN, the Alexandria database).

a b c (Å): 7.356 7.356 7.356
angles (deg): 90.00 90.00 90.00
Space group F-43m (No. 216)
Inequivalent atoms, fractional coordinates:
1 Tl 0.000 0.000 0.000
2 Zn 0.124 0.124 0.376
3 Ag 0.250 0.250 0.750

## Properties
**ΔH_f (0 K)**: 0.75 eV per formula unit
**Total moment**: 0.00 μB/f.u.
**Electronic total energy**: -26.17 eV per atom
**D(E_F)**: 1.41 states/eV/f.u.

Entry 6:
# Tl2ZnAg

A crystal of Tl2ZnAg relaxed with PBEsol (SCAN, the Alexandria database).

a b c (Å): 4.419 3.806 10.361
angles (deg): 90.00 90.00 90.00
Space group Amm2 (No. 38)
Inequivalent atoms, fractional coordinates:
1 Tl 0.000 0.000 0.000
2 Tl 0.500 0.000 0.303
3 Zn 0.000 0.000 0.726
4 Ag 0.500 0.000 0.582

## Properties
**Polymorph energy (0 for the lowest one)**: 0 meV per atom
**ΔH_f (0 K)**: 0.57 eV per formula unit
**Total moment**: 0.00 μB/f.u.
**Electronic total energy**: -47.26 eV per atom
**D(E_F)**: 1.34 states/eV/f.u.

Entry 7:
# TlZn2Ag

A crystal of TlZn2Ag relaxed with PBEsol (SCAN, the Alexandria database).

a b c (Å): 3.0948 3.0948 26.6292
angles (deg): 90.00 90.00 120.00
Space group R-3m (No. 166, hexagonal axes)
Inequivalent atoms, fractional coordinates:
1 Tl 0.0000 0.0000 0.0000
2 Zn 0.0000 0.0000 0.2417
3 Ag 0.0000 0.0000 0.5000

## Properties
**Polymorph energy (0 for the lowest one)**: 20 meV per atom
**ΔH_f (0 K)**: 0.81 eV per formula unit
**Total moment**: 0.00 μB/f.u.
**Electronic total energy**: -32.49 eV per atom
**D(E_F)**: 1.34 states/eV/f.u.

Entry 8:
# TlZnAg

A crystal of TlZnAg relaxed with PBEsol (SCAN, the Alexandria database).

a b c (Å): 4.419 4.428 11.936
angles (deg): 90.00 90.00 90.00
Space group Fmm2 (No. 42)
Inequivalent atoms, fractional coordinates:
1 Tl 0.000 0.000 0.000
2 Zn 0.000 0.000 0.686
3 Ag 0.000 0.000 0.311

## Properties
**ΔH_f (0 K)**: 0.50 eV per formula unit
**Total moment**: 0.00 μB/f.u.
**Electronic total energy**: -38.91 eV per atom
**D(E_F)**: 0.97 states/eV/f.u.

Entry 9:
# Tl2ZnAg

A crystal of Tl2ZnAg relaxed with PBEsol (SCAN, the Alexandria database).

a b c (Å): 4.244 4.244 9.575
angles (deg): 90.00 90.00 90.00
Space group I-4m2 (No. 119)
Inequivalent atoms, fractional coordinates:
1 Tl 0.000 0.000 0.000
2 Tl 0.000 0.500 0.250
3 Zn 0.000 0.000 0.500
4 Ag 0.000 0.500 0.750

## Properties
**Polymorph energy (0 for the lowest one)**: 99 meV per atom
**ΔH_f (0 K)**: 0.96 eV per formula unit
**Total moment**: 0.00 μB/f.u.
**Electronic total energy**: -47.16 eV per atom
**D(E_F)**: 1.09 states/eV/f.u.

Entry 10:
# Zr2TlAg

A crystal of Zr2TlAg relaxed with PBEsol (SCAN, the Alexandria database).

a b c (Å): 6.031 8.512 3.169
angles (deg): 90.00 90.00 90.00
Space group Cmmm (No. 65)
Inequivalent atoms, fractional coordinates:
1 Zr 0.250 0.250 0.000
2 Tl 0.000 0.000 0.500
3 Ag 0.000 0.500 0.500

## Properties
**ΔH_f (0 K)**: -0.66 eV per formula unit
**Total moment**: 0.00 μB/f.u.
**Electronic total energy**: -41.45 eV per atom
**D(E_F)**: 3.36 states/eV/f.u.

Entry 11:
# Zr2TlAg

A crystal of Zr2TlAg relaxed with PBEsol (SCAN, the Alexandria database).

a b c (Å): 10.800 3.261 5.102
angles (deg): 90.00 113.32 90.00
Space group Cm (No. 8)
Inequivalent atoms, fractional coordinates:
1 Zr 0.000 0.000 0.000
2 Zr 0.245 0.000 0.831
3 Tl 0.265 0.500 0.350
4 Ag 0.003 0.500 0.497

## Properties
**ΔH_f (0 K)**: -0.41 eV per formula unit
**Total moment**: 0.00 μB/f.u.
**Electronic total energy**: -41.38 eV per atom
**D(E_F)**: 2.68 states/eV/f.u.

Entry 12:
# Zr2TlAg

A crystal of Zr2TlAg relaxed with PBEsol (SCAN, the Alexandria database).

a b c (Å): 3.134 5.008 5.210
angles (deg): 90.00 90.00 90.00
Space group Pmm2 (No. 25)
Inequivalent atoms, fractional coordinates:
1 Zr 0.000 0.000 0.000
2 Zr 0.000 0.500 0.376
3 Tl 0.500 0.500 0.870
4 Ag 0.500 0.000 0.508

## Properties
**ΔH_f (0 K)**: -0.53 eV per formula unit
**Total moment**: 0.00 μB/f.u.
**Electronic total energy**: -41.41 eV per atom
**D(E_F)**: 3.62 states/eV/f.u.

Entry 13:
# Zr2TlAg

A crystal of Zr2TlAg relaxed with PBEsol (SCAN, the Alexandria database).

a b c (Å): 3.160 3.160 8.452
angles (deg): 90.00 90.00 90.00
Space group P4mm (No. 99)
Inequivalent atoms, fractional coordinates:
1 Zr 0.000 0.000 0.000
2 Zr 0.500 0.500 0.261
3 Tl 0.500 0.500 0.731
4 Ag 0.000 0.000 0.496

## Properties
**ΔH_f (0 K)**: -0.23 eV per formula unit
**Total moment**: 0.00 μB/f.u.
**Electronic total energy**: -41.34 eV per atom
**D(E_F)**: 3.23 states/eV/f.u.

Entry 14:
# ZrTlAg

A crystal of ZrTlAg relaxed with PBEsol (SCAN, the Alexandria database).

a b c (Å): 4.7273 4.7273 3.1344
angles (deg): 90.00 90.00 120.00
Space group P-6m2 (No. 187)
Inequivalent atoms, fractional coordinates:
1 Zr 0.0000 0.0000 0.0000
2 Tl 0.3333 0.6667 0.5000
3 Ag 0.6667 0.3333 0.5000

## Properties
**ΔH_f (0 K)**: -0.31 eV per formula unit
**Total moment**: 0.00 μB/f.u.
**Electronic total energy**: -44.91 eV per atom
**D(E_F)**: 2.02 states/eV/f.u.

Entry 15:
# ZrTlAg2

A crystal of ZrTlAg2 relaxed with PBEsol (SCAN, the Alexandria database).

a b c (Å): 4.773 4.773 6.735
angles (deg): 90.00 90.00 90.00
Space group I-4m2 (No. 119)
Inequivalent atoms, fractional coordinates:
1 Zr 0.000 0.000 0.000
2 Tl 0.000 0.500 0.750
3 Ag 0.000 0.000 0.500
4 Ag 0.000 0.500 0.250

## Properties
**ΔH_f (0 K)**: -0.06 eV per formula unit
**Total moment**: 0.00 μB/f.u.
**Electronic total energy**: -41.46 eV per atom
**D(E_F)**: 1.67 states/eV/f.u.